1.
## Ac2InPtO6 (PBE)

Data for Ac2InPtO6 after structural relaxation.

abc: 5.807 6.319 9.972
angles: 90.00 124.99 90.00
Fractional positions:
Ac  0.233  0.072  0.251
Ac  0.233  0.428  0.751
Ac  0.767  0.572  0.249
Ac  0.767  0.928  0.749
In  0.500  0.000  0.000
In  0.500  0.500  0.500
Pt  0.000  0.000  0.500
Pt  0.000  0.500  0.000
O  0.150  0.180  0.947
O  0.150  0.320  0.447
O  0.249  0.688  0.953
O  0.249  0.812  0.453
O  0.345  0.034  0.741
O  0.345  0.466  0.241
O  0.655  0.534  0.759
O  0.655  0.966  0.259
O  0.751  0.188  0.547
O  0.751  0.312  0.047
O  0.850  0.680  0.553
O  0.850  0.820  0.053

Computed properties:
- total energy (eV for the cell shown) = -136.0
- magnetization (μB per formula unit) = 1.0

2.
## Rb3Ac2InO6 (PBE)

Data for Rb3Ac2InO6 after structural relaxation.

abc: 6.444 6.444 6.971
angles: 98.72 98.72 120.07
Fractional positions:
Rb  0.000  0.000  0.000
Rb  0.341  0.659  0.000
Rb  0.659  0.341  0.000
Ac  0.167  0.833  0.500
Ac  0.833  0.167  0.500
In  0.500  0.500  0.500
O  0.130  0.439  0.316
O  0.251  0.251  0.684
O  0.439  0.130  0.316
O  0.561  0.870  0.684
O  0.749  0.749  0.316
O  0.870  0.561  0.684

Computed properties:
- total energy (eV for the cell shown) = -69.1
- magnetization (μB per formula unit) = 0.0

3.
## Rb3Ac3InO8 (PBE)

Data for Rb3Ac3InO8 after structural relaxation.

abc: 7.959 7.959 7.959
angles: 56.25 56.25 56.25
Fractional positions:
Rb  0.000  0.500  0.500
Rb  0.500  0.000  0.500
Rb  0.500  0.500  0.000
Ac  0.000  0.000  0.500
Ac  0.000  0.500  0.000
Ac  0.500  0.000  0.000
In  0.500  0.500  0.500
O  0.228  0.228  0.228
O  0.251  0.711  0.711
O  0.289  0.289  0.749
O  0.289  0.749  0.289
O  0.711  0.251  0.711
O  0.711  0.711  0.251
O  0.749  0.289  0.289
O  0.772  0.772  0.772

Computed properties:
- total energy (eV for the cell shown) = -90.7
- magnetization (μB per formula unit) = 1.1

4.
## RbAc2InO5 (PBE)

Data for RbAc2InO5 after structural relaxation.

abc: 8.068 8.068 8.068
angles: 126.33 126.33 79.35
Fractional positions:
Rb  0.250  0.250  0.000
Rb  0.750  0.750  0.000
Ac  0.183  0.683  0.866
Ac  0.317  0.183  0.500
Ac  0.683  0.817  0.500
Ac  0.817  0.317  0.134
In  0.250  0.750  0.500
In  0.750  0.250  0.500
O  0.000  0.000  0.000
O  0.010  0.234  0.500
O  0.234  0.734  0.223
O  0.266  0.490  0.500
O  0.490  0.990  0.223
O  0.500  0.500  0.000
O  0.510  0.010  0.777
O  0.734  0.510  0.500
O  0.766  0.266  0.777
O  0.990  0.766  0.500

Computed properties:
- total energy (eV for the cell shown) = -117.6
- magnetization (μB per formula unit) = 0.0

5.
## AcInReO6 (PBE)

Data for AcInReO6 after structural relaxation.

abc: 5.510 5.510 5.250
angles: 90.00 90.00 120.00
Fractional positions:
Ac  0.000  0.000  0.000
In  0.333  0.667  0.500
Re  0.667  0.333  0.500
O  0.386  0.034  0.710
O  0.386  0.352  0.290
O  0.648  0.034  0.290
O  0.648  0.614  0.710
O  0.966  0.352  0.710
O  0.966  0.614  0.290

Computed properties:
- total energy (eV for the cell shown) = -67.7
- magnetization (μB per formula unit) = 1.0

6.
## AcIn2ReO8 (PBE)

Data for AcIn2ReO8 after structural relaxation.

abc: 4.994 6.948 4.994
angles: 90.00 91.20 90.00
Fractional positions:
Ac  0.000  0.000  0.000
In  0.500  0.253  0.500
In  0.500  0.747  0.500
Re  0.000  0.500  0.000
O  0.189  0.306  0.188
O  0.189  0.694  0.188
O  0.275  0.500  0.724
O  0.322  0.000  0.675
O  0.678  0.000  0.325
O  0.725  0.500  0.276
O  0.811  0.306  0.812
O  0.811  0.694  0.812

Computed properties:
- total energy (eV for the cell shown) = -83.9
- magnetization (μB per formula unit) = 0.0